Here is an optimized crystal structure of TlBiS2 from Alexandria. Energies are from PBE-GGA.

```
data_TlBiS2
_chemical_formula_sum 'Tl3 Bi3 S6'
_cell_length_a 4.1005
_cell_length_b 4.1005
_cell_length_c 26.7223
_cell_angle_alpha 90.00
_cell_angle_beta 90.00
_cell_angle_gamma 120.00
_space_group_name_H-M_alt 'R -3 m'
_space_group_IT_number 166
_space_group_name_Hall '-R 3 2"'
loop_
_atom_site_label
_atom_site_type_symbol
_atom_site_fract_x
_atom_site_fract_y
_atom_site_fract_z
Tl1 Tl 0.0000 0.0000 0.0000
Bi1 Bi 0.0000 0.0000 0.5000
S1 S 0.0000 0.0000 0.1085
```

Output
E_tot ... -46.299 eV/cell